Run one
The following is a PBE calculation of SrTaI2O after structural relaxation, from Alexandria via LeMat-Bulk.

Values from the calculation:
* calculated volume: 165.10 Å³/f.u.
* space group: P4/mmm (123)
* magnetization: 3.39 Bohr magnetons per cell

The structure in CIF format:
```
data_SrTaI2O
_symmetry_space_group_name_H-M 'P 1'
_symmetry_Int_Tables_number 1
_symmetry_space_group_name_Hall 'P 1'
_cell_length_a 6.2653
_cell_length_b 6.2653
_cell_length_c 4.2058
_cell_angle_alpha 90.00
_cell_angle_beta 90.00
_cell_angle_gamma 90.00
loop_
_atom_site_label
_atom_site_fract_x
_atom_site_fract_y
_atom_site_fract_z
Sr1 0.0000 0.0000 0.0000
Ta1 0.5000 0.5000 0.5000
I1 0.0000 0.5000 0.0000
I2 0.5000 0.0000 0.0000
O1 0.0000 0.0000 0.5000
```


Run two
The following is a PBE calculation of SrTaI2O after structural relaxation, from Alexandria via LeMat-Bulk.

Values from the calculation:
* calculated volume: 139.46 Å³/f.u.
* space group: P4/mmm (123)
* magnetization: 0.38 Bohr magnetons per cell

The structure in CIF format:
```
data_SrTaI2O
_symmetry_space_group_name_H-M 'P 1'
_symmetry_Int_Tables_number 1
_symmetry_space_group_name_Hall 'P 1'
_cell_length_a 5.9540
_cell_length_b 5.9540
_cell_length_c 3.9340
_cell_angle_alpha 90.00
_cell_angle_beta 90.00
_cell_angle_gamma 90.00
loop_
_atom_site_label
_atom_site_fract_x
_atom_site_fract_y
_atom_site_fract_z
Sr1 0.0000 0.0000 0.0000
Ta1 0.5000 0.5000 0.5000
I1 0.0000 0.5000 0.5000
I2 0.5000 0.0000 0.5000
O1 0.5000 0.5000 0.0000
```


Of them, run one has the lowest stability.


Run one
The following is a PBE calculation of SrTcIO2 after structural relaxation, from Alexandria via LeMat-Bulk.

Values from the calculation:
* calculated volume: 133.67 Å³/f.u.
* space group: P4/mmm (123)
* magnetization: 6.15 Bohr magnetons per cell

The structure in CIF format:
```
data_SrTcIO2
_symmetry_space_group_name_H-M 'P 1'
_symmetry_Int_Tables_number 1
_symmetry_space_group_name_Hall 'P 1'
_cell_length_a 4.5257
_cell_length_b 4.5257
_cell_length_c 6.5263
_cell_angle_alpha 90.00
_cell_angle_beta 90.00
_cell_angle_gamma 90.00
loop_
_atom_site_label
_atom_site_fract_x
_atom_site_fract_y
_atom_site_fract_z
Sr1 0.0000 0.0000 0.0000
Tc1 0.5000 0.5000 0.5000
I1 0.0000 0.0000 0.5000
O1 0.0000 0.5000 0.0000
O2 0.5000 0.0000 0.0000
```


Run two
The following is a PBE calculation of SrTcIO2 after structural relaxation, from Alexandria via LeMat-Bulk.

Values from the calculation:
* calculated volume: 95.81 Å³/f.u.
* space group: P4/mmm (123)
* magnetization: 0.94 Bohr magnetons per cell

The structure in CIF format:
```
data_SrTcIO2
_symmetry_space_group_name_H-M 'P 1'
_symmetry_Int_Tables_number 1
_symmetry_space_group_name_Hall 'P 1'
_cell_length_a 4.1960
_cell_length_b 4.1960
_cell_length_c 5.4418
_cell_angle_alpha 90.00
_cell_angle_beta 90.00
_cell_angle_gamma 90.00
loop_
_atom_site_label
_atom_site_fract_x
_atom_site_fract_y
_atom_site_fract_z
Sr1 0.0000 0.0000 0.0000
Tc1 0.5000 0.5000 0.5000
I1 0.5000 0.5000 0.0000
O1 0.0000 0.5000 0.5000
O2 0.5000 0.0000 0.5000
```


Of them, run one has the lowest stability.


Run one
The following is a PBE calculation of SrTcI2O after structural relaxation, from Alexandria via LeMat-Bulk.

Values from the calculation:
* calculated volume: 173.07 Å³/f.u.
* space group: P4/mmm (123)
* magnetization: 4.45 Bohr magnetons per cell

The structure in CIF format:
```
data_SrTcI2O
_symmetry_space_group_name_H-M 'P 1'
_symmetry_Int_Tables_number 1
_symmetry_space_group_name_Hall 'P 1'
_cell_length_a 6.3618
_cell_length_b 6.3618
_cell_length_c 4.2763
_cell_angle_alpha 90.00
_cell_angle_beta 90.00
_cell_angle_gamma 90.00
loop_
_atom_site_label
_atom_site_fract_x
_atom_site_fract_y
_atom_site_fract_z
Sr1 0.0000 0.0000 0.0000
Tc1 0.5000 0.5000 0.5000
I1 0.0000 0.5000 0.0000
I2 0.5000 0.0000 0.0000
O1 0.0000 0.0000 0.5000
```


Run two
The following is a PBE calculation of SrTcI2O after structural relaxation, from Alexandria via LeMat-Bulk.

Values from the calculation:
* calculated volume: 128.93 Å³/f.u.
* space group: P4/mmm (123)
* magnetization: 0.26 Bohr magnetons per cell

The structure in CIF format:
```
data_SrTcI2O
_symmetry_space_group_name_H-M 'P 1'
_symmetry_Int_Tables_number 1
_symmetry_space_group_name_Hall 'P 1'
_cell_length_a 5.7886
_cell_length_b 5.7886
_cell_length_c 3.8476
_cell_angle_alpha 90.00
_cell_angle_beta 90.00
_cell_angle_gamma 90.00
loop_
_atom_site_label
_atom_site_fract_x
_atom_site_fract_y
_atom_site_fract_z
Sr1 0.0000 0.0000 0.0000
Tc1 0.5000 0.5000 0.5000
I1 0.0000 0.5000 0.5000
I2 0.5000 0.0000 0.5000
O1 0.5000 0.5000 0.0000
```


Of them, run one has the lowest stability.


Run one
The following is a PBE calculation of SrTiIO2 after structural relaxation, from Alexandria via LeMat-Bulk.

Values from the calculation:
* calculated volume: 96.67 Å³/f.u.
* space group: P4/mmm (123)
* magnetization: 0.81 Bohr magnetons per cell

The structure in CIF format:
```
data_SrTiIO2
_symmetry_space_group_name_H-M 'P 1'
_symmetry_Int_Tables_number 1
_symmetry_space_group_name_Hall 'P 1'
_cell_length_a 4.1931
_cell_length_b 4.1931
_cell_length_c 5.4982
_cell_angle_alpha 90.00
_cell_angle_beta 90.00
_cell_angle_gamma 90.00
loop_
_atom_site_label
_atom_site_fract_x
_atom_site_fract_y
_atom_site_fract_z
Sr1 0.0000 0.0000 0.0000
Ti1 0.5000 0.5000 0.5000
I1 0.5000 0.5000 0.0000
O1 0.0000 0.5000 0.5000
O2 0.5000 0.0000 0.5000
```


Run two
The following is a PBE calculation of SrTiIO2 after structural relaxation, from Alexandria via LeMat-Bulk.

Values from the calculation:
* calculated volume: 130.39 Å³/f.u.
* space group: P4/mmm (123)
* magnetization: 1.00 Bohr magnetons per cell

The structure in CIF format:
```
data_SrTiIO2
_symmetry_space_group_name_H-M 'P 1'
_symmetry_Int_Tables_number 1
_symmetry_space_group_name_Hall 'P 1'
_cell_length_a 4.5413
_cell_length_b 4.5413
_cell_length_c 6.3221
_cell_angle_alpha 90.00
_cell_angle_beta 90.00
_cell_angle_gamma 90.00
loop_
_atom_site_label
_atom_site_fract_x
_atom_site_fract_y
_atom_site_fract_z
Sr1 0.0000 0.0000 0.0000
Ti1 0.5000 0.5000 0.5000
I1 0.0000 0.0000 0.5000
O1 0.0000 0.5000 0.0000
O2 0.5000 0.0000 0.0000
```


Of them, run two has the lowest stability.